A relaxed AlRe2W crystal, computed with PBE.

Structure (POSCAR):
```
AlRe2W
1.0
-1.781 -2.582 3.082
2.400 -1.272 3.458
-0.868 1.622 3.995
Re Al W
2 1 1
Cartesian
0.000 0.000 0.000 Re
-0.062 -0.558 2.634 Re
-0.124 -1.117 5.268 Al
-0.186 -1.675 7.902 W
```

Values from the calculation:
As for the total energy: -10.34 eV/atom. Its density of states at the Fermi level is 1.27 states/eV/cell.